TbMgH (PBE, optimized geometry); uncorrected energy = -3.423 eV/atom; magnetization = 0.00 μB per cell; symmetry = No. 44; N(E_F) = 11.6 states/eV per cell; E above lowest polymorph = 0.0 meV/atom; volume = 53.62 Å³/f.u.
1.0
-2.395 13.958 2.406
2.395 -13.958 2.406
2.395 13.958 -2.406
Tb Mg H
6 6 6
Direct
0.083 0.000 0.083 Tb
0.325 0.499 0.825 Tb
0.413 0.000 0.413 Tb
0.587 0.000 0.587 Tb
0.674 0.499 0.175 Tb
0.916 0.000 0.917 Tb
0.000 0.500 0.500 Mg
0.174 0.500 0.675 Mg
0.248 0.999 0.248 Mg
0.500 0.500 0.000 Mg
0.751 0.999 0.752 Mg
0.825 0.500 0.325 Mg
0.076 0.500 0.576 H
0.324 0.995 0.329 H
0.406 0.500 0.906 H
0.594 0.500 0.094 H
0.666 0.995 0.671 H
0.924 0.500 0.424 H

***

TbMgH (PBE, optimized geometry); uncorrected energy = -3.333 eV/atom; magnetization = 0.00 μB per cell; symmetry = No. 156; N(E_F) = 2.5 states/eV per cell; E above lowest polymorph = 90.4 meV/atom; volume = 60.72 Å³/f.u.
1.0
3.533 0.000 0.000
-1.767 3.060 0.000
0.000 0.000 5.616
Tb Mg H
1 1 1
Direct
0.000 0.000 0.000 Tb
0.333 0.667 0.499 Mg
0.667 0.333 0.139 H

***

Tb2MgH8 (PBE, optimized geometry); uncorrected energy = -3.899 eV/atom; magnetization = 0.00 μB per cell; symmetry = No. 71; volume = 97.41 Å³/f.u.
1.0
-1.862 2.387 5.479
1.862 -2.387 5.479
1.862 2.387 -5.479
Tb Mg H
2 1 8
Direct
0.172 0.172 0.000 Tb
0.828 0.828 0.000 Tb
0.500 0.500 0.000 Mg
0.102 0.360 0.742 H
0.247 0.000 0.247 H
0.302 0.802 0.500 H
0.382 0.640 0.742 H
0.618 0.360 0.258 H
0.698 0.198 0.500 H
0.753 0.000 0.753 H
0.898 0.640 0.258 H

***

MgTcH2 (PBE, optimized geometry); uncorrected energy = -4.049 eV/atom; magnetization = 0.78 μB per cell; symmetry = No. 225; N(E_F) = 2.7 states/eV per cell; E above lowest polymorph = 501.2 meV/atom; volume = 36.88 Å³/f.u.
1.0
0.000 2.642 2.642
2.642 0.000 2.642
2.642 2.642 0.000
Mg Tc H
1 1 2
Direct
0.000 0.000 0.000 Mg
0.500 0.500 0.500 Tc
0.250 0.250 0.250 H
0.750 0.750 0.750 H

***

Mg2TcH (PBE, optimized geometry); uncorrected energy = -3.287 eV/atom; magnetization = 1.97 μB per cell; symmetry = No. 225; N(E_F) = 3.4 states/eV per cell; E above lowest polymorph = 378.1 meV/atom; volume = 64.15 Å³/f.u.
1.0
0.000 3.177 3.177
3.177 0.000 3.177
3.177 3.177 0.000
Mg Tc H
2 1 1
Direct
0.250 0.250 0.250 Mg
0.750 0.750 0.750 Mg
0.000 0.000 0.000 Tc
0.500 0.500 0.500 H

***

Mg2TcH2 (PBE, optimized geometry); uncorrected energy = -3.892 eV/atom; magnetization = 0.00 μB per cell; symmetry = No. 127; N(E_F) = 3.5 states/eV per cell; volume = 59.50 Å³/f.u.
1.0
5.715 0.000 0.000
0.000 5.715 0.000
0.000 0.000 3.644
Mg Tc H
4 2 4
Direct
0.187 0.313 0.000 Mg
0.313 0.813 0.000 Mg
0.687 0.187 0.000 Mg
0.813 0.687 0.000 Mg
0.000 0.000 0.500 Tc
0.500 0.500 0.500 Tc
0.206 0.706 0.500 H
0.294 0.206 0.500 H
0.706 0.794 0.500 H
0.794 0.294 0.500 H